Entry from Alexandria via LeMat-Bulk: an optimized crystal structure of Zr2TiAlH (PBE).

Geometry as CIF:
```
data_Zr2TiAlH
_cell_length_a 4.197
_cell_length_b 4.197
_cell_length_c 4.606
_cell_angle_alpha 90.00
_cell_angle_beta 90.00
_cell_angle_gamma 90.00
_symmetry_space_group_name_H-M 'P 4/m m m'
_symmetry_Int_Tables_number 123
_symmetry_space_group_name_Hall '-P 4 2'
loop_
_atom_site_label
_atom_site_fract_x
_atom_site_fract_y
_atom_site_fract_z
Zr1 0.000 0.500 0.000
Ti1 0.000 0.000 0.500
Al1 0.500 0.500 0.500
H1 0.500 0.500 0.000
```

Properties
- Uncorrected energy: -6.619 eV/atom
- V: 16.23 Å³ per atom
- Excess energy over the best structure of this formula in the dataset: 170 meV per atom

Entry from Alexandria via LeMat-Bulk: an optimized crystal structure of Al2TlH (PBE).

Geometry as CIF:
```
data_Al2TlH
_cell_length_a 6.526
_cell_length_b 6.526
_cell_length_c 6.526
_cell_angle_alpha 90.00
_cell_angle_beta 90.00
_cell_angle_gamma 90.00
_symmetry_space_group_name_H-M 'F m -3 m'
_symmetry_Int_Tables_number 225
_symmetry_space_group_name_Hall '-F 4 2 3'
loop_
_atom_site_label
_atom_site_fract_x
_atom_site_fract_y
_atom_site_fract_z
Al1 0.250 0.250 0.250
Tl1 0.000 0.000 0.000
H1 0.000 0.000 0.500
```

Properties
- Uncorrected energy: -2.679 eV/atom
- V: 17.37 Å³ per atom
- Excess energy over the best structure of this formula in the dataset: 270 meV per atom

Entry from Alexandria via LeMat-Bulk: an optimized crystal structure of AlTl2H (PBE).

Geometry as CIF:
```
data_AlTl2H
_cell_length_a 5.402
_cell_length_b 5.402
_cell_length_c 13.254
_cell_angle_alpha 90.00
_cell_angle_beta 90.00
_cell_angle_gamma 90.00
_symmetry_space_group_name_H-M 'I -4 2 d'
_symmetry_Int_Tables_number 122
_symmetry_space_group_name_Hall 'I -4 2bw'
loop_
_atom_site_label
_atom_site_fract_x
_atom_site_fract_y
_atom_site_fract_z
Al1 0.000 0.000 0.000
Tl1 0.161 0.250 0.625
H1 0.000 0.000 0.500
```

Properties
- Uncorrected energy: -2.444 eV/atom
- V: 24.17 Å³ per atom
- Excess energy over the best structure of this formula in the dataset: 0 meV per atom

Entry from Alexandria via LeMat-Bulk: an optimized crystal structure of Al2TlH (PBE).

Geometry as CIF:
```
data_Al2TlH
_cell_length_a 5.007
_cell_length_b 5.007
_cell_length_c 11.997
_cell_angle_alpha 90.00
_cell_angle_beta 90.00
_cell_angle_gamma 90.00
_symmetry_space_group_name_H-M 'I -4 2 d'
_symmetry_Int_Tables_number 122
_symmetry_space_group_name_Hall 'I -4 2bw'
loop_
_atom_site_label
_atom_site_fract_x
_atom_site_fract_y
_atom_site_fract_z
Al1 0.070 0.250 0.125
Tl1 0.000 0.000 0.500
H1 0.000 0.000 0.000
```

Properties
- Uncorrected energy: -2.949 eV/atom
- V: 18.80 Å³ per atom
- Excess energy over the best structure of this formula in the dataset: 0 meV per atom

Entry from Alexandria via LeMat-Bulk: an optimized crystal structure of AlTlH (PBE).

Geometry as CIF:
```
data_AlTlH
_cell_length_a 12.250
_cell_length_b 4.508
_cell_length_c 4.650
_cell_angle_alpha 90.00
_cell_angle_beta 111.92
_cell_angle_gamma 90.00
_symmetry_space_group_name_H-M 'C 1 2/m 1'
_symmetry_Int_Tables_number 12
loop_
_symmetry_equiv_pos_as_xyz
'x,y,z'
'-x,-y,-z'
'-x,y,-z'
'x,-y,z'
'x+1/2,y+1/2,z'
'-x+1/2,-y+1/2,-z'
'-x+1/2,y+1/2,-z'
'x+1/2,-y+1/2,z'
loop_
_atom_site_label
_atom_site_fract_x
_atom_site_fract_y
_atom_site_fract_z
Al1 0.193 0.000 0.446
Tl1 0.115 0.500 0.866
H1 0.050 0.000 0.298
```

Properties
- Uncorrected energy: -2.920 eV/atom
- V: 19.85 Å³ per atom

Entry from Alexandria via LeMat-Bulk: an optimized crystal structure of AlTl2H (PBE).

Geometry as CIF:
```
data_AlTl2H
_cell_length_a 6.968
_cell_length_b 6.968
_cell_length_c 6.968
_cell_angle_alpha 90.00
_cell_angle_beta 90.00
_cell_angle_gamma 90.00
_symmetry_space_group_name_H-M 'F m -3 m'
_symmetry_Int_Tables_number 225
_symmetry_space_group_name_Hall '-F 4 2 3'
loop_
_atom_site_label
_atom_site_fract_x
_atom_site_fract_y
_atom_site_fract_z
Al1 0.000 0.000 0.000
Tl1 0.250 0.250 0.250
H1 0.000 0.000 0.500
```

Properties
- Uncorrected energy: -2.414 eV/atom
- V: 21.15 Å³ per atom
- Excess energy over the best structure of this formula in the dataset: 30 meV per atom

Entry from Alexandria via LeMat-Bulk: an optimized crystal structure of AlTlH2 (PBE).

Geometry as CIF:
```
data_AlTlH2
_cell_length_a 6.079
_cell_length_b 6.079
_cell_length_c 6.079
_cell_angle_alpha 90.00
_cell_angle_beta 90.00
_cell_angle_gamma 90.00
_symmetry_space_group_name_H-M 'F m -3 m'
_symmetry_Int_Tables_number 225
_symmetry_space_group_name_Hall '-F 4 2 3'
loop_
_atom_site_label
_atom_site_fract_x
_atom_site_fract_y
_atom_site_fract_z
Al1 0.000 0.000 0.000
Tl1 0.000 0.000 0.500
H1 0.250 0.250 0.250
```

Properties
- Uncorrected energy: -2.513 eV/atom
- V: 14.04 Å³ per atom
- Excess energy over the best structure of this formula in the dataset: 399 meV per atom

Entry from Alexandria via LeMat-Bulk: an optimized crystal structure of AlTlH2 (PBE).

Geometry as CIF:
```
data_AlTlH2
_cell_length_a 4.643
_cell_length_b 4.643
_cell_length_c 11.143
_cell_angle_alpha 90.00
_cell_angle_beta 90.00
_cell_angle_gamma 90.00
_symmetry_space_group_name_H-M 'I 41/a m d'
_symmetry_Int_Tables_number 141
loop_
_symmetry_equiv_pos_as_xyz
'x,y,z'
'-x,-y,-z'
'-y+1/4,x+3/4,z+1/4'
'y+1/4,-x+3/4,-z+1/4'
'-x+1/2,-y,z+1/2'
'x+1/2,y,-z+1/2'
'y+1/4,-x+1/4,z+3/4'
'-y+1/4,x+1/4,-z+3/4'
'x,-y,-z'
'-x,y,z'
'-y+1/4,-x+1/4,-z+3/4'
'y+1/4,x+1/4,z+3/4'
'-x+1/2,y,-z+1/2'
'x+1/2,-y,z+1/2'
'y+1/4,x+3/4,-z+1/4'
'-y+1/4,-x+3/4,z+1/4'
'x+1/2,y+1/2,z+1/2'
'-x+1/2,-y+1/2,-z+1/2'
'-y+3/4,x+1/4,z+3/4'
'y+3/4,-x+1/4,-z+3/4'
'-x,-y+1/2,z'
'x,y+1/2,-z'
'y+3/4,-x+3/4,z+1/4'
'-y+3/4,x+3/4,-z+1/4'
'x+1/2,-y+1/2,-z+1/2'
'-x+1/2,y+1/2,z+1/2'
'-y+3/4,-x+3/4,-z+1/4'
'y+3/4,x+3/4,z+1/4'
'-x,y+1/2,-z'
'x,-y+1/2,z'
'y+3/4,x+1/4,-z+3/4'
'-y+3/4,-x+1/4,z+3/4'
loop_
_atom_site_label
_atom_site_fract_x
_atom_site_fract_y
_atom_site_fract_z
Al1 0.000 0.250 0.375
Tl1 0.000 0.250 0.875
H1 0.000 0.000 0.500
```

Properties
- Uncorrected energy: -2.912 eV/atom
- V: 15.01 Å³ per atom
- Excess energy over the best structure of this formula in the dataset: 0 meV per atom

Entry from Alexandria via LeMat-Bulk: an optimized crystal structure of Al2TlH6 (PBE).

Geometry as CIF:
```
data_Al2TlH6
_cell_length_a 7.264
_cell_length_b 7.264
_cell_length_c 7.264
_cell_angle_alpha 90.00
_cell_angle_beta 90.00
_cell_angle_gamma 90.00
_symmetry_space_group_name_H-M 'F m -3 m'
_symmetry_Int_Tables_number 225
_symmetry_space_group_name_Hall '-F 4 2 3'
loop_
_atom_site_label
_atom_site_fract_x
_atom_site_fract_y
_atom_site_fract_z
Al1 0.250 0.250 0.250
Tl1 0.000 0.000 0.000
H1 0.000 0.000 0.280
```

Properties
- Uncorrected energy: -2.455 eV/atom
- V: 10.65 Å³ per atom

Entry from Alexandria via LeMat-Bulk: an optimized crystal structure of AlTl3H (PBE).

Geometry as CIF:
```
data_AlTl3H
_cell_length_a 5.455
_cell_length_b 5.455
_cell_length_c 5.455
_cell_angle_alpha 90.00
_cell_angle_beta 90.00
_cell_angle_gamma 90.00
_symmetry_space_group_name_H-M 'P m -3 m'
_symmetry_Int_Tables_number 221
_symmetry_space_group_name_Hall '-P 4 2 3'
loop_
_atom_site_label
_atom_site_fract_x
_atom_site_fract_y
_atom_site_fract_z
Al1 0.000 0.000 0.000
Tl1 0.000 0.000 0.500
H1 0.500 0.500 0.500
```

Properties
- Uncorrected energy: -2.200 eV/atom
- V: 32.46 Å³ per atom
- Excess energy over the best structure of this formula in the dataset: 272 meV per atom

Entry from Alexandria via LeMat-Bulk: an optimized crystal structure of AlTl3H (PBE).

Geometry as CIF:
```
data_AlTl3H
_cell_length_a 4.905
_cell_length_b 4.905
_cell_length_c 4.905
_cell_angle_alpha 90.00
_cell_angle_beta 90.00
_cell_angle_gamma 90.00
_symmetry_space_group_name_H-M 'P m -3 m'
_symmetry_Int_Tables_number 221
_symmetry_space_group_name_Hall '-P 4 2 3'
loop_
_atom_site_label
_atom_site_fract_x
_atom_site_fract_y
_atom_site_fract_z
Al1 0.000 0.000 0.000
Tl1 0.000 0.500 0.500
H1 0.500 0.500 0.500
```

Properties
- Uncorrected energy: -2.473 eV/atom
- V: 23.60 Å³ per atom
- Excess energy over the best structure of this formula in the dataset: 0 meV per atom

Entry from Alexandria via LeMat-Bulk: an optimized crystal structure of Y2AlTlH (PBE).

Geometry as CIF:
```
data_Y2AlTlH
_cell_length_a 4.873
_cell_length_b 4.873
_cell_length_c 4.306
_cell_angle_alpha 90.00
_cell_angle_beta 90.00
_cell_angle_gamma 90.00
_symmetry_space_group_name_H-M 'P 4/m m m'
_symmetry_Int_Tables_number 123
_symmetry_space_group_name_Hall '-P 4 2'
loop_
_atom_site_label
_atom_site_fract_x
_atom_site_fract_y
_atom_site_fract_z
Y1 0.000 0.500 0.000
Al1 0.000 0.000 0.500
Tl1 0.500 0.500 0.500
H1 0.000 0.000 0.000
```

Properties
- Uncorrected energy: -4.748 eV/atom
- V: 20.45 Å³ per atom

Entry from Alexandria via LeMat-Bulk: an optimized crystal structure of TmAl2H6 (PBE).

Geometry as CIF:
```
data_TmAl2H6
_cell_length_a 7.104
_cell_length_b 7.104
_cell_length_c 7.104
_cell_angle_alpha 90.00
_cell_angle_beta 90.00
_cell_angle_gamma 90.00
_symmetry_space_group_name_H-M 'F m -3 m'
_symmetry_Int_Tables_number 225
_symmetry_space_group_name_Hall '-F 4 2 3'
loop_
_atom_site_label
_atom_site_fract_x
_atom_site_fract_y
_atom_site_fract_z
Tm1 0.000 0.000 0.000
Al1 0.250 0.250 0.250
H1 0.000 0.000 0.284
```

Properties
- Uncorrected energy: -3.135 eV/atom
- V: 9.96 Å³ per atom

Entry from Alexandria via LeMat-Bulk: an optimized crystal structure of TmAlH (PBE).

Geometry as CIF:
```
data_TmAlH
_cell_length_a 7.103
_cell_length_b 4.106
_cell_length_c 7.466
_cell_angle_alpha 90.00
_cell_angle_beta 108.47
_cell_angle_gamma 90.00
_symmetry_space_group_name_H-M 'C 1 2/m 1'
_symmetry_Int_Tables_number 12
loop_
_symmetry_equiv_pos_as_xyz
'x,y,z'
'-x,-y,-z'
'-x,y,-z'
'x,-y,z'
'x+1/2,y+1/2,z'
'-x+1/2,-y+1/2,-z'
'-x+1/2,y+1/2,-z'
'x+1/2,-y+1/2,z'
loop_
_atom_site_label
_atom_site_fract_x
_atom_site_fract_y
_atom_site_fract_z
Tm1 0.100 0.000 0.302
Al1 0.156 0.500 0.968
H1 0.202 0.000 0.608
```

Properties
- Uncorrected energy: -4.203 eV/atom
- V: 17.21 Å³ per atom
- Excess energy over the best structure of this formula in the dataset: 0 meV per atom

Entry from Alexandria via LeMat-Bulk: an optimized crystal structure of Tm2AlH (PBE).

Geometry as CIF:
```
data_Tm2AlH
_cell_length_a 4.6376
_cell_length_b 4.6376
_cell_length_c 19.8571
_cell_angle_alpha 90.00
_cell_angle_beta 90.00
_cell_angle_gamma 120.00
_symmetry_space_group_name_H-M 'R -3 m'
_symmetry_Int_Tables_number 166
_symmetry_space_group_name_Hall '-R 3 2"'
loop_
_atom_site_label
_atom_site_fract_x
_atom_site_fract_y
_atom_site_fract_z
Tm1 0.0000 0.0000 0.1036
Al1 0.0000 0.0000 0.5000
H1 0.0000 0.0000 0.0000
```

Properties
- Uncorrected energy: -3.899 eV/atom
- V: 30.82 Å³ per atom

Entry from Alexandria via LeMat-Bulk: an optimized crystal structure of Tm12Al3H5 (PBE).

Geometry as CIF:
```
data_Tm12Al3H5
_cell_length_a 15.125
_cell_length_b 15.125
_cell_length_c 15.125
_cell_angle_alpha 90.00
_cell_angle_beta 90.00
_cell_angle_gamma 90.00
_symmetry_space_group_name_H-M 'I a -3 d'
_symmetry_Int_Tables_number 230
_symmetry_space_group_name_Hall '-I 4bd 2c 3'
loop_
_atom_site_label
_atom_site_fract_x
_atom_site_fract_y
_atom_site_fract_z
Tm1 0.039 0.056 0.652
Al1 0.000 0.250 0.125
H1 0.000 0.000 0.000
H2 0.000 0.250 0.375
```

Properties
- Uncorrected energy: -4.299 eV/atom
- V: 21.63 Å³ per atom

Entry from Alexandria via LeMat-Bulk: an optimized crystal structure of TmAlH (PBE).

Geometry as CIF:
```
data_TmAlH
_cell_length_a 3.063
_cell_length_b 3.063
_cell_length_c 10.922
_cell_angle_alpha 90.00
_cell_angle_beta 90.00
_cell_angle_gamma 90.00
_symmetry_space_group_name_H-M 'I 4 m m'
_symmetry_Int_Tables_number 107
_symmetry_space_group_name_Hall 'I 4 -2'
loop_
_atom_site_label
_atom_site_fract_x
_atom_site_fract_y
_atom_site_fract_z
Tm1 0.000 0.000 0.000
Al1 0.000 0.000 0.284
H1 0.000 0.000 0.543
```

Properties
- Uncorrected energy: -3.909 eV/atom
- V: 17.08 Å³ per atom
- Excess energy over the best structure of this formula in the dataset: 293 meV per atom

Entry from Alexandria via LeMat-Bulk: an optimized crystal structure of Tm3Al5H12 (PBE).

Geometry as CIF:
```
data_Tm3Al5H12
_cell_length_a 11.770
_cell_length_b 11.770
_cell_length_c 11.770
_cell_angle_alpha 90.00
_cell_angle_beta 90.00
_cell_angle_gamma 90.00
_symmetry_space_group_name_H-M 'I a -3 d'
_symmetry_Int_Tables_number 230
_symmetry_space_group_name_Hall '-I 4bd 2c 3'
loop_
_atom_site_label
_atom_site_fract_x
_atom_site_fract_y
_atom_site_fract_z
Tm1 0.000 0.250 0.125
Al1 0.000 0.000 0.000
Al2 0.000 0.250 0.375
H1 0.017 0.065 0.647
```

Properties
- Uncorrected energy: -3.585 eV/atom
- V: 10.19 Å³ per atom

Entry from Alexandria via LeMat-Bulk: an optimized crystal structure of UAlH2 (PBE).

Geometry as CIF:
```
data_UAlH2
_cell_length_a 2.9794
_cell_length_b 2.9794
_cell_length_c 18.7889
_cell_angle_alpha 90.00
_cell_angle_beta 90.00
_cell_angle_gamma 120.00
_symmetry_space_group_name_H-M 'R -3 m'
_symmetry_Int_Tables_number 166
_symmetry_space_group_name_Hall '-R 3 2"'
loop_
_atom_site_label
_atom_site_fract_x
_atom_site_fract_y
_atom_site_fract_z
U1 0.0000 0.0000 0.0000
Al1 0.0000 0.0000 0.5000
H1 0.0000 0.0000 0.4038
```

Properties
- Uncorrected energy: -5.364 eV/atom
- V: 12.04 Å³ per atom